This record from Alexandria describes crystalline Zr4SbAs2 at its relaxed geometry. The functional is PBE-GGA.

a = 3.9604 Å, b = 6.4498 Å, c = 12.8687 Å
α = 90.00°, β = 90.00°, γ = 107.88°
Atoms (fractional coordinates):
Zr 0.0693 0.1387 0.2500
Zr 0.7672 0.5343 0.1219
Zr 0.2328 0.4657 0.6219
Zr 0.7672 0.5343 0.3781
Zr 0.9307 0.8613 0.7500
Zr 0.5000 0.0000 0.5000
Zr 0.2328 0.4657 0.8781
Zr 0.5000 0.0000 0.0000
Sb 0.6047 0.2094 0.7500
Sb 0.3953 0.7906 0.2500
As 0.8637 0.7275 0.5588
As 0.1363 0.2725 0.0588
As 0.1363 0.2725 0.4412
As 0.8637 0.7275 0.9412

Properties
The symmetry is No. 63. The calculation puts the density of states at the Fermi level at 7.63 states/eV/cell. The formation energy (no corrections) is -0.8328 eV per atom. The calculated density comes out at 6.757 g cm⁻³.